No. 1
Entry from Alexandria: a relaxed NpWN3 crystal (PBE).

Results
SG = Cmmm, No. 65
raw formation energy = -0.511 eV per atom
total magnetic moment = 3.48 μB/f.u.
calculated volume = 62 Å³/f.u.

```
NpWN3
1.0
3.876 0.000 0.000
0.000 5.395 0.000
0.000 -2.697 5.939
N W Np
6 2 2
Direct
0.500 0.000 0.500
0.500 0.266 0.000
0.500 0.500 0.500
0.500 0.734 0.000
0.000 0.146 0.293
0.000 0.854 0.707
0.500 0.119 0.237
0.500 0.881 0.763
0.000 0.655 0.310
0.000 0.345 0.690
```

No. 2
Entry from Alexandria: a relaxed AgGeI crystal (PBE).

Results
SG = C2/m, No. 12
raw formation energy = 0.259 eV per atom
total magnetic moment = 0.00 μB/f.u.
calculated volume = 90 Å³/f.u.

```
AgGeI
1.0
7.686 0.000 0.339
0.000 3.790 0.000
-4.130 -1.895 6.009
Ag I Ge
2 2 2
Direct
0.304 0.501 0.002
0.696 0.499 0.998
0.337 0.838 0.676
0.663 0.162 0.324
0.898 0.398 0.795
0.102 0.602 0.205
```

No. 3
Entry from Alexandria: a relaxed Rb2Tl12Ga crystal (PBE).

Results
SG = P4/nbm, No. 125
total magnetic moment = 0.00 μB/f.u.
calculated total energy = -66.50 eV for the cell shown
calculated volume = 521 Å³/f.u.

```
Rb2Tl12Ga
1.0
-1.630 -6.328 -2.875
4.393 -3.226 4.610
-15.425 -2.052 13.263
Tl Rb Ga
24 4 2
Direct
0.249 0.749 0.916
0.835 0.335 0.565
0.749 0.751 0.916
0.500 0.500 0.182
0.751 0.749 0.084
0.335 0.165 0.565
0.500 0.500 0.818
0.751 0.251 0.916
0.165 0.335 0.435
0.251 0.249 0.916
0.000 0.000 0.340
0.000 0.000 0.818
0.165 0.665 0.565
0.665 0.835 0.565
0.835 0.665 0.435
0.749 0.249 0.084
0.335 0.835 0.435
0.500 0.500 0.340
0.249 0.251 0.084
0.665 0.165 0.435
0.251 0.751 0.084
0.000 0.000 0.660
0.000 0.000 0.182
0.500 0.500 0.660
0.000 0.500 0.251
0.500 0.000 0.251
0.500 0.000 0.749
0.000 0.500 0.749
0.000 0.500 0.000
0.500 0.000 0.000
```

No. 4
Entry from Alexandria: a relaxed CsNaTc3 crystal (PBE).

Results
SG = Pm-3m, No. 221
total magnetic moment = 9.95 μB/f.u.
calculated volume = 138 Å³/f.u.
offset from the most stable computed form = 0.0000 eV/atom

```
CsNaTc3
1.0
5.173 0.000 0.000
0.000 5.173 0.000
0.000 0.000 5.173
Na Tc Cs
1 3 1
Direct
0.000 0.000 0.000
0.000 0.000 0.500
0.500 0.000 0.000
0.000 0.500 0.000
0.500 0.500 0.500
```

No. 5
Entry from Alexandria: a relaxed Sc2TaZnSb crystal (PBE).

Results
SG = P4/mmm, No. 123
raw formation energy = 0.716 eV per atom
total magnetic moment = 0.00 μB/f.u.
calculated volume = 131 Å³/f.u.
offset from the most stable computed form = 0.0000 eV/atom

```
Sc2TaZnSb
1.0
5.110 0.000 0.000
0.000 5.001 0.000
0.000 0.000 5.110
Sc Zn Ta Sb
2 1 1 1
Direct
0.000 0.000 0.500
0.500 0.000 0.000
0.000 0.500 0.000
0.000 0.000 0.000
0.500 0.500 0.500
```

No. 6
Entry from Alexandria: a relaxed LiEr2Al8 crystal (PBE).

Results
SG = P4/mmm, No. 123
total magnetic moment = 0.00 μB/f.u.
calculated total energy = -43.95 eV for the cell shown
calculated volume = 205 Å³/f.u.

```
LiEr2Al8
1.0
-3.307 -2.508 1.114
2.179 -1.339 3.454
-4.315 8.336 5.954
Al Er Li
8 2 1
Direct
0.500 0.000 0.874
0.000 0.500 0.874
0.500 0.000 0.126
0.000 0.500 0.500
0.000 0.500 0.126
0.500 0.500 0.305
0.500 0.500 0.695
0.500 0.000 0.500
0.000 0.000 0.313
0.000 0.000 0.687
0.000 0.000 0.000
```

No. 7
Entry from Alexandria: a relaxed MgHg2Pt2 crystal (PBE).

Results
SG = P4/mbm, No. 127
total magnetic moment = 0.00 μB/f.u.
calculated volume = 97 Å³/f.u.
offset from the most stable computed form = 0.0000 eV/atom

```
MgHg2Pt2
1.0
-1.652 -6.190 2.710
5.128 0.668 4.653
-2.539 1.790 2.541
Pt Mg Hg
4 2 4
Direct
0.863 0.637 0.000
0.637 0.137 0.000
0.363 0.863 0.000
0.137 0.363 0.000
0.000 0.000 0.000
0.500 0.500 0.000
0.166 0.666 0.500
0.834 0.334 0.500
0.334 0.166 0.500
0.666 0.834 0.500
```

No. 8
Entry from Alexandria: a relaxed Ho4Se2SN crystal (PBE).

Results
SG = P2/m, No. 10
raw formation energy = -1.766 eV per atom
total magnetic moment = 0.00 μB/f.u.
calculated volume = 164 Å³/f.u.

```
Ho4Se2SN
1.0
-2.431 -2.503 1.488
-2.197 -1.492 -6.098
5.237 -4.188 1.511
N Ho S Se
1 4 1 2
Direct
0.000 0.000 0.000
0.000 0.236 0.789
0.500 0.214 0.204
0.500 0.786 0.796
0.000 0.764 0.211
0.500 0.500 0.000
0.500 0.000 0.500
0.000 0.500 0.500
```

No. 9
Entry from Alexandria: a relaxed Ac6In5Ga crystal (PBE).

Results
SG = Immm, No. 71
total magnetic moment = 0.00 μB/f.u.
calculated total energy = -46.39 eV for the cell shown
calculated volume = 408 Å³/f.u.

```
Ac6In5Ga
1.0
-4.937 2.295 -1.893
0.530 -9.228 -3.793
0.189 1.335 9.899
Ac In Ga
6 5 1
Direct
0.245 0.408 0.082
0.755 0.592 0.918
0.755 0.918 0.592
0.245 0.082 0.408
0.741 0.241 0.241
0.259 0.759 0.759
0.500 0.500 0.500
0.500 0.171 0.829
0.000 0.334 0.666
0.000 0.666 0.334
0.500 0.829 0.171
0.000 0.000 0.000
```

No. 10
Entry from Alexandria: a relaxed KLa2Ce crystal (PBE).

Results
SG = R-3m, No. 166
total magnetic moment = 0.00 μB/f.u.
calculated total energy = -15.01 eV for the cell shown
calculated volume = 170 Å³/f.u.

```
KLa2Ce
1.0
-1.087 4.062 -0.519
-1.998 2.072 3.109
8.638 5.160 5.001
Ce K La
1 1 2
Direct
0.500 0.500 0.500
0.000 0.000 0.000
0.120 0.120 0.641
0.880 0.880 0.359
```

No. 11
Entry from Alexandria: a relaxed SrTa2Pb crystal (PBE).

Results
SG = Cmmm, No. 65
total magnetic moment = 0.00 μB/f.u.
calculated total energy = -25.52 eV for the cell shown
calculated volume = 95 Å³/f.u.

```
SrTa2Pb
1.0
3.076 -0.002 0.000
-0.900 2.941 0.000
0.000 0.000 10.514
Ta Sr Pb
2 1 1
Direct
0.000 0.000 0.025
0.000 0.000 0.475
0.500 0.500 0.750
0.500 0.500 0.250
```

No. 12
Entry from Alexandria: a relaxed ErTcSn4 crystal (PBE).

Results
SG = I4/mcm, No. 140
total magnetic moment = 0.00 μB/f.u.
calculated total energy = -65.39 eV for the cell shown
calculated volume = 144 Å³/f.u.

```
ErTcSn4
1.0
-0.325 5.837 -3.666
3.112 -3.150 -5.292
-6.766 -3.006 2.309
Sn Tc Er
8 2 2
Direct
0.506 0.006 0.705
0.994 0.802 0.295
0.698 0.506 0.705
0.302 0.494 0.295
0.006 0.198 0.705
0.494 0.994 0.295
0.198 0.698 0.705
0.802 0.302 0.295
0.750 0.750 0.500
0.250 0.250 0.500
0.500 0.500 0.000
0.000 0.000 0.000
```

No. 13
Entry from Alexandria: a relaxed TiPS crystal (PBE).

Results
SG = Cmcm, No. 63
raw formation energy = -0.930 eV per atom
total magnetic moment = 0.00 μB/f.u.
calculated volume = 47 Å³/f.u.

```
TiPS
1.0
-2.313 -0.762 2.416
3.237 -2.608 2.276
2.791 5.065 1.834
P Ti S
2 2 2
Direct
0.500 0.964 0.000
0.500 0.464 0.000
0.870 0.214 0.741
0.130 0.714 0.259
0.215 0.214 0.431
0.785 0.714 0.569
```

No. 14
Entry from Alexandria: a relaxed LiCuF4 crystal (PBE).

Results
SG = P2_1/c, No. 14
raw formation energy = -1.921 eV per atom
total magnetic moment = 0.00 μB/f.u.
calculated volume = 70 Å³/f.u.

```
LiCuF4
1.0
4.895 0.000 0.000
0.000 5.591 -0.020
0.000 2.837 5.101
Li Cu F
2 2 8
Direct
0.000 0.500 0.500
0.500 0.500 0.000
0.500 0.000 0.500
0.000 0.000 0.000
0.199 0.146 0.701
0.699 0.854 0.799
0.801 0.854 0.299
0.177 0.676 0.136
0.323 0.676 0.636
0.677 0.324 0.364
0.301 0.146 0.201
0.823 0.324 0.864
```

No. 15
Entry from Alexandria: a relaxed BeTc2Cl crystal (PBE).

Results
SG = P4mm, No. 99
raw formation energy = 0.118 eV per atom
total magnetic moment = 0.00 μB/f.u.
calculated volume = 68 Å³/f.u.
offset from the most stable computed form = 0.0245 eV/atom

```
BeTc2Cl
1.0
-1.977 1.001 1.919
-1.695 -2.333 -0.529
3.633 -3.955 5.803
Tc Cl Be
2 1 1
Direct
0.500 0.500 0.244
0.000 0.000 0.041
0.500 0.500 0.825
0.000 0.000 0.390
```

No. 16
Entry from Alexandria: a relaxed CrInIr2Cl crystal (PBE).

Results
SG = P4/mmm, No. 123
raw formation energy = 2.262 eV per atom
total magnetic moment = 2.28 μB/f.u.
calculated volume = 124 Å³/f.u.

```
CrInIr2Cl
1.0
-4.815 0.103 1.206
1.156 -1.271 4.725
0.402 4.802 1.194
Ir In Cr Cl
2 1 1 1
Direct
0.000 0.000 0.500
0.500 0.000 0.000
0.000 0.000 0.000
0.000 0.500 0.000
0.500 0.500 0.500
```

No. 17
Entry from Alexandria: a relaxed KSb3Pd3 crystal (PBE).

Results
SG = R-3, No. 148
raw formation energy = -0.336 eV per atom
total magnetic moment = 0.00 μB/f.u.
calculated volume = 203 Å³/f.u.
offset from the most stable computed form = 0.0000 eV/atom

```
KSb3Pd3
1.0
7.533 0.000 0.000
3.767 6.524 0.000
3.767 2.175 8.269
Sb Pd K
6 6 2
Direct
0.816 0.064 0.695
0.424 0.816 0.695
0.936 0.576 0.305
0.064 0.424 0.695
0.184 0.936 0.305
0.576 0.184 0.305
0.534 0.834 0.382
0.834 0.251 0.382
0.166 0.749 0.618
0.251 0.534 0.382
0.466 0.166 0.618
0.749 0.466 0.618
0.660 0.660 0.020
0.340 0.340 0.980
```

No. 18
Entry from Alexandria: a relaxed Be2Zn2Mo crystal (PBE).

Results
SG = P4/mbm, No. 127
total magnetic moment = 0.00 μB/f.u.
calculated total energy = -40.68 eV for the cell shown
calculated volume = 60 Å³/f.u.

```
Be2Zn2Mo
1.0
-1.972 6.375 0.831
-6.177 -1.638 -2.093
-0.698 -0.540 2.483
Zn Be Mo
4 4 2
Direct
0.333 0.167 0.500
0.833 0.333 0.500
0.667 0.833 0.500
0.167 0.667 0.500
0.373 0.873 0.000
0.873 0.627 0.000
0.127 0.373 0.000
0.627 0.127 0.000
0.000 0.000 0.000
0.500 0.500 0.000
```

No. 19
Entry from Alexandria: a relaxed NpUSn crystal (PBE).

Results
SG = C2/m, No. 12
total magnetic moment = 0.00 μB/f.u.
calculated volume = 66 Å³/f.u.
offset from the most stable computed form = 0.0769 eV/atom

```
NpUSn
1.0
3.819 0.000 0.000
1.910 5.959 0.565
1.910 1.043 5.909
Np U Sn
2 2 2
Direct
0.835 0.246 0.084
0.165 0.754 0.916
0.834 0.594 0.738
0.166 0.406 0.262
0.578 0.166 0.678
0.422 0.834 0.322
```

No. 20
Entry from Alexandria: a relaxed TlPbS2Cl crystal (PBE).

Results
SG = P4/mmm, No. 123
raw formation energy = -0.171 eV per atom
total magnetic moment = 0.00 μB/f.u.
calculated volume = 161 Å³/f.u.
offset from the most stable computed form = 0.0000 eV/atom

```
TlPbS2Cl
1.0
-4.816 -1.216 -2.063
0.056 -4.690 2.633
-2.477 2.417 4.358
Cl S Tl Pb
1 2 1 1
Direct
0.000 0.000 0.500
0.000 0.500 0.000
0.500 0.000 0.000
0.500 0.500 0.500
0.000 0.000 0.000
```

No. 21
Entry from Alexandria: a relaxed SrPrZnAu crystal (PBE).

Results
SG = P4mm, No. 99
total magnetic moment = 0.00 μB/f.u.
calculated volume = 110 Å³/f.u.
offset from the most stable computed form = 0.0000 eV/atom

```
SrPrZnAu
1.0
3.827 0.000 0.000
0.000 3.827 0.000
0.000 0.000 7.536
Pr Sr Au Zn
1 1 1 1
Direct
0.000 0.000 0.359
0.000 0.000 0.856
0.500 0.500 0.579
0.500 0.500 0.134
```

No. 22
Entry from Alexandria: a relaxed CuTeN2F crystal (PBE).

Results
SG = P4/mmm, No. 123
raw formation energy = 0.828 eV per atom
total magnetic moment = 0.00 μB/f.u.
calculated volume = 59 Å³/f.u.
offset from the most stable computed form = 0.0000 eV/atom

```
CuTeN2F
1.0
3.952 0.000 0.000
0.000 3.952 0.000
0.000 0.000 3.764
F Te N Cu
1 1 2 1
Direct
0.000 0.000 0.500
0.500 0.500 0.500
0.500 0.000 0.000
0.000 0.500 0.000
0.000 0.000 0.000
```

No. 23
Entry from Alexandria: a relaxed AcDyPuO6 crystal (PBE).

Results
SG = P-31c, No. 163
raw formation energy = -3.098 eV per atom
total magnetic moment = 2.00 μB/f.u.
calculated volume = 151 Å³/f.u.

```
AcDyPuO6
1.0
5.823 0.000 0.000
-2.912 5.043 0.000
0.000 0.000 10.306
Dy O Pu Ac
2 12 2 2
Direct
0.333 0.667 0.250
0.667 0.333 0.750
0.348 0.975 0.641
0.025 0.652 0.859
0.627 0.652 0.641
0.652 0.025 0.359
0.975 0.627 0.359
0.652 0.627 0.141
0.373 0.348 0.359
0.348 0.373 0.859
0.975 0.348 0.141
0.373 0.025 0.141
0.627 0.975 0.859
0.025 0.373 0.641
0.333 0.667 0.750
0.667 0.333 0.250
0.000 0.000 0.000
0.000 0.000 0.500
```